(1)
Nd2AlCu4Ge3: optimized geometry, PBE.

Structure (extended XYZ):
```
10
Lattice="-0.859 0.911 3.959 -2.985 -2.887 0.017 6.842 -7.057 3.109" Properties=species:S:1:pos:R:3 pbc="T T T"
Nd 1.232 -1.259 2.735
Nd 3.687 -6.786 2.362
Al 1.499 -4.516 3.542
Cu -1.922 -0.988 1.988
Cu 0.000 0.000 0.000
Cu 3.911 -4.022 3.952
Cu 1.008 -4.023 1.145
Ge 3.421 -3.529 1.554
Ge 5.518 -5.679 4.682
Ge -0.598 -2.366 0.415
```

Results
Total magnetic moment in μB/cell: 0.00
Formation energy from the elements in eV/atom: -0.523
E in eV per atom: -4.87

***

(2)
AlCuGe2O: optimized geometry, PBE.

Structure (extended XYZ):
```
5
Lattice="5.172 0.000 0.000 0.000 5.172 0.000 0.000 0.000 3.353" Properties=species:S:1:pos:R:3 pbc="T T T"
O 0.000 0.000 1.677
Ge 0.000 2.586 0.000
Ge 2.586 0.000 0.000
Al 0.000 0.000 0.000
Cu 2.586 2.586 1.677
```

Results
Total magnetic moment in μB/cell: 0.00
E in eV per atom: -4.49
E_form (uncorrected) in kJ/mol of atoms: -7.8

***

(3)
AlCuGeP2: optimized geometry, PBE.

Structure (extended XYZ):
```
5
Lattice="-2.600 -3.144 1.918 1.661 -3.174 -2.951 3.310 -0.967 2.904" Properties=species:S:1:pos:R:3 pbc="T T T"
P 1.655 -0.483 1.452
P -1.300 -1.572 0.959
Ge 1.186 -3.642 0.935
Al 0.831 -1.587 -1.475
Cu 0.000 0.000 0.000
```

Results
Total magnetic moment in μB/cell: 0.00
Formation energy from the elements in eV/atom: 0.654
E in eV per atom: -4.00

***

(4)
Pm2AlCu4Ge3: optimized geometry, PBE.

Structure (extended XYZ):
```
10
Lattice="4.128 0.000 0.000 0.000 4.128 0.000 0.000 0.000 10.315" Properties=species:S:1:pos:R:3 pbc="T T T"
Pm 2.064 0.000 2.502
Pm 0.000 2.064 7.813
Al 2.064 2.064 5.157
Cu 2.064 2.064 0.000
Cu 0.000 0.000 0.000
Cu 2.064 0.000 6.551
Cu 0.000 2.064 3.763
Ge 0.000 0.000 5.157
Ge 2.064 0.000 8.960
Ge 0.000 2.064 1.355
```

Results
Total magnetic moment in μB/cell: 0.00
Formation energy from the elements in eV/atom: -0.525
E in eV per atom: -4.87

***

(5)
PrAlCuGe2: optimized geometry, PBE.

Structure (extended XYZ):
```
5
Lattice="-2.005 -3.057 -1.838 3.145 -2.510 0.745 -2.942 1.308 5.588" Properties=species:S:1:pos:R:3 pbc="T T T"
Pr 0.000 0.000 0.000
Al -2.188 -2.266 1.602
Cu 0.386 -1.993 2.893
Ge 0.024 -3.124 0.615
Ge -1.825 -1.136 3.880
```

Results
Total magnetic moment in μB/cell: 0.00
Formation energy from the elements in eV/atom: -0.457
E in eV per atom: -4.83

***

(6)
PuAlCuGe2: optimized geometry, PBE.

Structure (extended XYZ):
```
5
Lattice="-1.653 3.085 1.915 -3.295 -2.159 0.633 4.671 -2.362 3.681" Properties=species:S:1:pos:R:3 pbc="T T T"
Pu 0.000 0.000 0.000
Al -0.549 -2.029 2.795
Cu 0.272 0.593 3.436
Ge -1.979 0.035 2.390
Ge 1.703 -1.472 3.840
```

Results
Total magnetic moment in μB/cell: 5.48
Formation energy from the elements in eV/atom: -0.305
E in eV per atom: -6.59

***

(7)
Pu2AlCu3Ge4: optimized geometry, PBE.

Structure (extended XYZ):
```
10
Lattice="4.119 0.000 0.000 0.000 4.119 0.000 0.000 0.000 10.501" Properties=species:S:1:pos:R:3 pbc="T T T"
Pu 2.059 0.000 2.560
Pu 0.000 2.059 7.941
Al 2.059 2.059 5.251
Cu 0.000 0.000 5.251
Cu 2.059 0.000 9.143
Cu 0.000 2.059 1.358
Ge 2.059 2.059 0.000
Ge 0.000 0.000 0.000
Ge 2.059 0.000 6.774
Ge 0.000 2.059 3.727
```

Results
Total magnetic moment in μB/cell: 11.07
Formation energy from the elements in eV/atom: -0.312
E in eV per atom: -6.63

***

(8)
AlCu2GeRh: optimized geometry, PBE.

Structure (extended XYZ):
```
5
Lattice="4.386 0.000 0.000 0.000 4.648 0.000 0.000 0.000 4.386" Properties=species:S:1:pos:R:3 pbc="T T T"
Ge 0.000 0.000 0.000
Rh 0.000 2.324 0.000
Al 2.193 2.324 2.193
Cu 0.000 0.000 2.193
Cu 2.193 0.000 0.000
```

Results
Total magnetic moment in μB/cell: 0.00
Formation energy from the elements in eV/atom: 0.499
E in eV per atom: -4.28

***

(9)
AlCuGe2S: optimized geometry, PBE.

Structure (extended XYZ):
```
5
Lattice="-4.276 0.088 2.834 -2.270 -0.443 -3.411 0.232 -5.100 0.508" Properties=species:S:1:pos:R:3 pbc="T T T"
Ge 0.116 -2.550 0.254
Ge -2.138 0.044 1.417
S 0.000 0.000 0.000
Cu -1.135 -0.222 -1.706
Al -3.157 -2.727 -0.034
```

Results
Total magnetic moment in μB/cell: 0.00
E in eV per atom: -3.74
E_form (uncorrected) in kJ/mol of atoms: 47.8

***

(10)
AlCu2GeSb: optimized geometry, PBE.

Structure (extended XYZ):
```
5
Lattice="-3.910 2.356 -1.251 -0.047 -2.771 -5.069 -2.668 -3.421 1.895" Properties=species:S:1:pos:R:3 pbc="T T T"
Sb 0.000 0.000 0.000
Ge -0.024 -1.385 -2.535
Al -3.313 -1.918 -2.213
Cu -1.334 -1.710 0.947
Cu -1.955 1.178 -0.626
```

Results
Total magnetic moment in μB/cell: 0.00
E in eV per atom: -3.33
E_form (uncorrected) in kJ/mol of atoms: 77.6

***

(11)
AlCuGeSe4: optimized geometry, PBE.

Structure (extended XYZ):
```
7
Lattice="-2.789 2.789 5.417 2.789 -2.789 5.417 2.789 2.789 -5.417" Properties=species:S:1:pos:R:3 pbc="T T T"
Al 0.000 2.789 2.708
Cu 0.000 0.000 0.000
Ge 0.000 0.000 5.417
Se 1.335 1.472 -1.431
Se 1.454 1.317 3.985
Se 4.106 1.335 1.431
Se -1.317 1.454 6.848
```

Results
Total magnetic moment in μB/cell: 0.00
E in eV per atom: -4.25
E_form (uncorrected) in kJ/mol of atoms: -46.4

***

(12)
Sm2AlCu4Ge3: optimized geometry, PBE.

Structure (extended XYZ):
```
10
Lattice="4.112 0.000 0.000 0.000 4.112 0.000 0.000 0.000 10.321" Properties=species:S:1:pos:R:3 pbc="T T T"
Sm 2.056 0.000 2.501
Sm 0.000 2.056 7.820
Al 2.056 2.056 5.160
Cu 2.056 2.056 0.000
Cu 0.000 0.000 0.000
Cu 2.056 0.000 6.561
Cu 0.000 2.056 3.760
Ge 0.000 0.000 5.160
Ge 2.056 0.000 8.961
Ge 0.000 2.056 1.360
```

Results
Total magnetic moment in μB/cell: 0.00
Formation energy from the elements in eV/atom: -0.521
E in eV per atom: -4.86

***

(13)
Sm2AlCu3Ge4: optimized geometry, PBE.

Structure (extended XYZ):
```
10
Lattice="4.155 0.000 0.000 0.000 4.155 0.000 0.000 0.000 10.474" Properties=species:S:1:pos:R:3 pbc="T T T"
Sm 2.077 0.000 2.555
Sm 0.000 2.077 7.919
Al 2.077 2.077 5.237
Cu 0.000 0.000 5.237
Cu 2.077 0.000 9.110
Cu 0.000 2.077 1.364
Ge 2.077 2.077 0.000
Ge 0.000 0.000 0.000
Ge 2.077 0.000 6.739
Ge 0.000 2.077 3.735
```

Results
Total magnetic moment in μB/cell: 0.00
Formation energy from the elements in eV/atom: -0.487
E in eV per atom: -4.88

***

(14)
Sr2AlCu3Ge4: optimized geometry, PBE.

Structure (extended XYZ):
```
10
Lattice="4.245 0.000 0.000 0.000 4.245 0.000 0.000 0.000 10.754" Properties=species:S:1:pos:R:3 pbc="T T T"
Sr 2.122 0.000 2.637
Sr 0.000 2.122 8.117
Al 2.122 2.122 5.377
Cu 0.000 0.000 5.377
Cu 2.122 0.000 9.368
Cu 0.000 2.122 1.386
Ge 2.122 2.122 0.000
Ge 0.000 0.000 0.000
Ge 2.122 0.000 6.868
Ge 0.000 2.122 3.885
```

Results
Total magnetic moment in μB/cell: 0.00
Formation energy from the elements in eV/atom: -0.385
E in eV per atom: -4.17

***

(15)
SrAlCuGe2: optimized geometry, PBE.

Structure (extended XYZ):
```
5
Lattice="-0.994 -4.033 -1.146 0.182 -1.218 4.129 -4.872 3.764 -0.924" Properties=species:S:1:pos:R:3 pbc="T T T"
Sr 0.000 0.000 0.000
Al -3.136 -1.447 -0.289
Cu -2.548 -0.039 2.348
Ge -1.685 -2.349 1.629
Ge -3.999 0.863 0.430
```

Results
Total magnetic moment in μB/cell: 0.00
Formation energy from the elements in eV/atom: -0.361
E in eV per atom: -4.11

***

(16)
TaAlCuGe2: optimized geometry, PBE.

Structure (extended XYZ):
```
5
Lattice="5.003 0.000 0.000 0.000 4.917 0.000 0.000 0.000 5.003" Properties=species:S:1:pos:R:3 pbc="T T T"
Ge 0.000 0.000 2.502
Ge 2.502 0.000 0.000
Al 2.502 2.458 2.502
Cu 0.000 2.458 0.000
Ta 0.000 0.000 0.000
```

Results
Total magnetic moment in μB/cell: 0.00
Formation energy from the elements in eV/atom: 0.870
E in eV per atom: -4.91

***

(17)
Tb2AlCu3Ge4: optimized geometry, PBE.

Structure (extended XYZ):
```
10
Lattice="-3.113 1.199 2.386 -2.449 0.182 -3.286 -2.732 -10.040 1.480" Properties=species:S:1:pos:R:3 pbc="T T T"
Tb -2.223 -1.851 1.554
Tb -3.289 -7.499 -0.524
Al -4.147 -4.330 0.290
Cu -1.366 -5.020 0.740
Cu -3.928 -8.116 2.478
Cu -1.585 -1.234 -1.448
Ge -2.781 0.690 -0.450
Ge 0.000 0.000 0.000
Ge -3.318 -5.874 2.147
Ge -2.195 -3.476 -1.117
```

Results
Total magnetic moment in μB/cell: 0.00
Formation energy from the elements in eV/atom: -0.461
E in eV per atom: -4.84

***

(18)
Th2AlCu3Ge4: optimized geometry, PBE.

Structure (extended XYZ):
```
10
Lattice="-1.713 3.915 -0.003 -3.280 -1.437 -2.333 -5.048 -2.202 8.453" Properties=species:S:1:pos:R:3 pbc="T T T"
Th -2.083 1.423 2.053
Th -5.461 -2.385 5.232
Al -5.021 0.138 3.058
Cu -2.524 -1.101 4.226
Cu -5.278 0.029 7.402
Cu -2.267 -0.992 -0.117
Ge -2.496 1.239 -1.168
Ge 0.000 0.000 0.000
Ge -4.087 0.548 5.408
Ge -3.457 -1.511 1.877
```

Results
Total magnetic moment in μB/cell: 0.00
Formation energy from the elements in eV/atom: -0.427
E in eV per atom: -5.36

***

(19)
TiAlCuGe: optimized geometry, PBE.

Structure (extended XYZ):
```
8
Lattice="3.760 0.000 0.000 0.000 3.760 0.000 0.000 0.000 8.538" Properties=species:S:1:pos:R:3 pbc="T T T"
Ti 0.000 1.880 6.371
Ti 1.880 0.000 2.166
Al 1.880 1.880 0.000
Al 0.000 0.000 0.000
Cu 0.000 0.000 4.269
Cu 1.880 1.880 4.269
Ge 1.880 0.000 6.028
Ge 0.000 1.880 2.509
```

Results
Total magnetic moment in μB/cell: 0.00
Formation energy from the elements in eV/atom: -0.322
E in eV per atom: -5.41

***

(20)
AlTlCu2Ge: optimized geometry, PBE.

Structure (extended XYZ):
```
5
Lattice="4.607 0.000 0.000 0.000 5.104 0.000 0.000 0.000 4.607" Properties=species:S:1:pos:R:3 pbc="T T T"
Tl 2.303 2.552 2.303
Ge 0.000 0.000 0.000
Cu 0.000 0.000 2.303
Cu 2.303 0.000 0.000
Al 0.000 2.552 0.000
```

Results
Total magnetic moment in μB/cell: 0.00
Formation energy from the elements in eV/atom: 0.397
E in eV per atom: -3.39

***

(21)
Y2AlCu3Ge4: optimized geometry, PBE.

Structure (extended XYZ):
```
10
Lattice="-1.646 -3.753 0.014 3.683 -1.612 0.793 -1.851 0.851 10.332" Properties=species:S:1:pos:R:3 pbc="T T T"
Y -1.275 -1.669 2.530
Y 0.442 -0.163 8.205
Al 0.093 -2.257 5.569
Cu -0.926 0.425 5.166
Cu -2.429 -1.138 8.973
Cu 1.597 -0.694 1.762
Ge 1.019 -2.683 0.403
Ge 0.000 0.000 0.000
Ge -2.017 -1.328 6.670
Ge 1.184 -0.504 4.066
```

Results
Total magnetic moment in μB/cell: 0.00
Formation energy from the elements in eV/atom: -0.453
E in eV per atom: -5.20

***

(22)
Y2AlCu4Ge3: optimized geometry, PBE.

Structure (extended XYZ):
```
10
Lattice="-3.721 -0.673 -1.488 1.004 -3.863 -0.762 -3.271 -2.705 9.404" Properties=species:S:1:pos:R:3 pbc="T T T"
Y -2.647 -0.987 1.519
Y -1.982 -3.985 6.760
Al -2.994 -3.620 3.577
Cu -1.359 -2.268 -1.125
Cu 0.000 0.000 0.000
Cu -3.944 -2.060 5.246
Cu -0.685 -2.913 3.033
Ge -1.635 -1.352 4.702
Ge -4.695 -2.681 7.407
Ge 0.066 -2.292 0.872
```

Results
Total magnetic moment in μB/cell: 0.00
Formation energy from the elements in eV/atom: -0.507
E in eV per atom: -5.20

***

(23)
Al2ZnCu7Ge2: optimized geometry, PBE.

Structure (extended XYZ):
```
12
Lattice="-2.680 1.326 -2.359 -2.235 0.411 3.056 -0.918 12.444 2.177" Properties=species:S:1:pos:R:3 pbc="T T T"
Al -4.620 9.973 2.064
Al -1.214 4.208 0.810
Zn 0.000 0.000 0.000
Cu -2.458 0.868 0.349
Cu -1.670 6.653 1.261
Cu -4.164 7.528 1.614
Cu -3.174 3.218 -0.603
Cu -2.950 2.759 2.116
Cu -2.884 11.422 0.759
Cu -2.660 10.963 3.477
Ge -3.659 5.100 1.162
Ge -2.175 9.081 1.712
```

Results
Total magnetic moment in μB/cell: 0.00
Formation energy from the elements in eV/atom: -0.008
E in eV per atom: -3.90

***

(24)
ZrAlCuGe2: optimized geometry, PBE.

Structure (extended XYZ):
```
5
Lattice="4.691 0.000 0.000 0.000 5.114 0.000 0.000 0.000 4.691" Properties=species:S:1:pos:R:3 pbc="T T T"
Ge 0.000 0.000 2.345
Ge 2.345 0.000 0.000
Cu 2.345 2.557 2.345
Zr 0.000 2.557 0.000
Al 0.000 0.000 0.000
```

Results
Total magnetic moment in μB/cell: 0.00
Formation energy from the elements in eV/atom: 0.793
E in eV per atom: -4.33

***

(25)
AlCuH3: optimized geometry, PBE.

Structure (extended XYZ):
```
5
Lattice="3.534 0.000 0.000 0.000 3.534 0.000 0.000 0.000 3.534" Properties=species:S:1:pos:R:3 pbc="T T T"
H 0.000 1.767 0.000
H 0.000 0.000 1.767
H 1.767 0.000 0.000
Al 0.000 0.000 0.000
Cu 1.767 1.767 1.767
```

Results
Total magnetic moment in μB/cell: 0.00
E in eV per atom: -3.09